[1]
## FeRhCl3 (PBEsol)

Data for a geometry-optimized FeRhCl3 structure.

Computed properties:
The density of states at the Fermi level comes out at 10.40 states/eV/f.u. The calculation puts the final energy at -4.256 eV/atom.

Lattice parameters (Å, degrees): 4.6102 4.6102 4.6102 90.00 90.00 90.00
Fractional coordinates of all 5 atoms:
Fe (0.0000, 0.0000, 0.0000)
Rh (0.5000, 0.5000, 0.5000)
Cl (0.0000, 0.0000, 0.5000)
Cl (0.0000, 0.5000, 0.0000)
Cl (0.5000, 0.0000, 0.0000)

=====

[2]
## Fe2RhCl (PBEsol)

Data for a geometry-optimized Fe2RhCl structure.

Computed properties:
The density of states at the Fermi level comes out at 3.66 states/eV/f.u. For the relative energy among the computed polymorphs, the calculation gives 0 meV/atom.

Lattice parameters (Å, degrees): 2.8703 2.8987 6.9943 90.00 90.00 90.00
Fractional coordinates of all 4 atoms:
Fe (0.0000, 0.0000, 0.2235)
Fe (0.0000, 0.0000, 0.7765)
Rh (0.5000, 0.5000, 0.0000)
Cl (0.5000, 0.0000, 0.5000)

=====

[3]
## FeRh3Cl (PBEsol)

Data for a geometry-optimized FeRh3Cl structure.

Computed properties:
The density of states at the Fermi level comes out at 5.86 states/eV/f.u. The calculation puts the final energy at -6.112 eV/atom.

Lattice parameters (Å, degrees): 4.2859 4.2859 4.2859 90.00 90.00 90.00
Fractional coordinates of all 5 atoms:
Fe (0.0000, 0.0000, 0.0000)
Rh (0.0000, 0.5000, 0.5000)
Rh (0.5000, 0.0000, 0.5000)
Rh (0.5000, 0.5000, 0.0000)
Cl (0.5000, 0.5000, 0.5000)

=====

[4]
## Fe2RhCl (PBEsol)

Data for a geometry-optimized Fe2RhCl structure.

Computed properties:
The density of states at the Fermi level comes out at 4.43 states/eV/f.u. For the relative energy among the computed polymorphs, the calculation gives 5 meV/atom.

Lattice parameters (Å, degrees): 2.9613 2.8899 6.7620 90.00 90.07 90.00
Fractional coordinates of all 4 atoms:
Fe (0.0000, 0.0000, 0.0000)
Fe (0.5004, 0.5000, 0.2064)
Rh (0.4990, 0.5000, 0.7955)
Cl (0.5118, 0.0000, 0.4768)

=====

[5]
## Fe2RhCl (PBEsol)

Data for a geometry-optimized Fe2RhCl structure.

Computed properties:
The density of states at the Fermi level comes out at 3.44 states/eV/f.u. For the relative energy among the computed polymorphs, the calculation gives 304 meV/atom.

Lattice parameters (Å, degrees): 4.9634 4.9634 4.9634 147.11 128.97 62.05
Fractional coordinates of all 4 atoms:
Fe (0.2312, 0.2312, 0.0000)
Fe (0.7688, 0.7688, 0.0000)
Rh (0.5000, 0.0000, 0.5000)
Cl (0.0000, 0.5000, 0.5000)

=====

[6]
## FeRhCl2 (PBEsol)

Data for a geometry-optimized FeRhCl2 structure.

Computed properties:
The density of states at the Fermi level comes out at 4.27 states/eV/f.u. The calculation puts the final energy at -4.913 eV/atom.

Lattice parameters (Å, degrees): 5.7318 5.7318 5.7318 145.03 145.03 50.30
Fractional coordinates of all 4 atoms:
Fe (0.0000, 0.0000, 0.0000)
Rh (0.7500, 0.2500, 0.5000)
Cl (0.2500, 0.7500, 0.5000)
Cl (0.5000, 0.5000, 0.0000)

=====

[7]
## FeRuCl3 (PBEsol)

Data for a geometry-optimized FeRuCl3 structure.

Computed properties:
The density of states at the Fermi level comes out at 7.58 states/eV/f.u. The calculation puts the final energy at -4.509 eV/atom.

Lattice parameters (Å, degrees): 4.6623 4.6623 4.6623 90.00 90.00 90.00
Fractional coordinates of all 5 atoms:
Fe (0.0000, 0.0000, 0.0000)
Ru (0.5000, 0.5000, 0.5000)
Cl (0.0000, 0.5000, 0.5000)
Cl (0.5000, 0.0000, 0.5000)
Cl (0.5000, 0.5000, 0.0000)

=====

[8]
## FeRu3Cl (PBEsol)

Data for a geometry-optimized FeRu3Cl structure.

Computed properties:
The density of states at the Fermi level comes out at 7.41 states/eV/f.u. The calculation puts the final energy at -6.535 eV/atom.

Lattice parameters (Å, degrees): 4.4046 4.4046 4.4046 90.00 90.00 90.00
Fractional coordinates of all 5 atoms:
Fe (0.0000, 0.0000, 0.0000)
Ru (0.0000, 0.0000, 0.5000)
Ru (0.0000, 0.5000, 0.0000)
Ru (0.5000, 0.0000, 0.0000)
Cl (0.5000, 0.5000, 0.5000)

=====

[9]
## FeRuCl2 (PBEsol)

Data for a geometry-optimized FeRuCl2 structure.

Computed properties:
The density of states at the Fermi level comes out at 4.77 states/eV/f.u. For the relative energy among the computed polymorphs, the calculation gives 396 meV/atom.

Lattice parameters (Å, degrees): 4.9486 4.9486 4.9486 145.99 113.89 76.48
Fractional coordinates of all 4 atoms:
Fe (0.0000, 0.0000, 0.0000)
Ru (0.5000, 0.5000, 0.0000)
Cl (0.2559, 0.7559, 0.5000)
Cl (0.7441, 0.2441, 0.5000)

=====

[10]
## FeRuCl (PBEsol)

Data for a geometry-optimized FeRuCl structure.

Computed properties:
The density of states at the Fermi level comes out at 2.92 states/eV/f.u. The calculation puts the final energy at -6.707 eV/atom.

Lattice parameters (Å, degrees): 2.8287 2.8287 5.7447 90.00 90.00 120.00
Fractional coordinates of all 3 atoms:
Fe (0.0000, 0.0000, 0.0000)
Ru (0.3333, 0.6667, 0.6783)
Cl (0.6667, 0.3333, 0.3061)

=====

[11]
## FeRuCl2 (PBEsol)

Data for a geometry-optimized FeRuCl2 structure.

Computed properties:
The density of states at the Fermi level comes out at 3.37 states/eV/f.u. For the relative energy among the computed polymorphs, the calculation gives 507 meV/atom.

Lattice parameters (Å, degrees): 5.6503 5.6503 5.6503 144.50 144.50 51.07
Fractional coordinates of all 4 atoms:
Fe (0.0000, 0.0000, 0.0000)
Ru (0.7500, 0.2500, 0.5000)
Cl (0.2500, 0.7500, 0.5000)
Cl (0.5000, 0.5000, 0.0000)

=====

[12]
## FeRuCl2 (PBEsol)

Data for a geometry-optimized FeRuCl2 structure.

Computed properties:
The density of states at the Fermi level comes out at 2.32 states/eV/f.u. For the relative energy among the computed polymorphs, the calculation gives 0 meV/atom.

Lattice parameters (Å, degrees): 2.8672 2.8672 7.6607 90.00 90.00 90.00
Fractional coordinates of all 4 atoms:
Fe (0.0000, 0.0000, 0.0000)
Ru (0.5000, 0.5000, 0.2060)
Cl (0.0000, 0.0000, 0.4130)
Cl (0.5000, 0.5000, 0.8121)

=====

[13]
## Fe2RuCl (PBEsol)

Data for a geometry-optimized Fe2RuCl structure.

Computed properties:
The density of states at the Fermi level comes out at 3.90 states/eV/f.u. For the relative energy among the computed polymorphs, the calculation gives 226 meV/atom.

Lattice parameters (Å, degrees): 4.9510 4.9510 4.9510 147.85 128.36 62.15
Fractional coordinates of all 4 atoms:
Fe (0.0000, 0.0000, 0.0000)
Fe (0.7321, 0.2321, 0.5000)
Ru (0.2663, 0.7663, 0.5000)
Cl (0.5050, 0.5050, 0.0000)

=====

[14]
## Fe2RuCl (PBEsol)

Data for a geometry-optimized Fe2RuCl structure.

Computed properties:
The density of states at the Fermi level comes out at 4.28 states/eV/f.u. For the relative energy among the computed polymorphs, the calculation gives 0 meV/atom.

Lattice parameters (Å, degrees): 2.8357 2.8357 6.4127 90.00 90.00 90.00
Fractional coordinates of all 4 atoms:
Fe (0.0000, 0.0000, 0.0000)
Fe (0.5000, 0.5000, 0.2309)
Ru (0.0000, 0.0000, 0.4467)
Cl (0.5000, 0.5000, 0.7502)

=====

[15]
## Fe2RuCl (PBEsol)

Data for a geometry-optimized Fe2RuCl structure.

Computed properties:
The density of states at the Fermi level comes out at 3.87 states/eV/f.u. For the relative energy among the computed polymorphs, the calculation gives 86 meV/atom.

Lattice parameters (Å, degrees): 2.7544 2.7544 7.9971 90.00 90.00 117.68
Fractional coordinates of all 4 atoms:
Fe (0.0000, 0.0000, 0.0000)
Fe (0.5000, 0.5000, 0.2391)
Ru (0.0000, 0.0000, 0.4852)
Cl (0.5000, 0.5000, 0.7652)

=====

[16]
## FeSCl7 (PBEsol)

Data for a geometry-optimized FeSCl7 structure.

Computed properties:
The calculation puts the final energy at -3.488 eV/atom.

Lattice parameters (Å, degrees): 6.3357 11.8412 13.9548 90.00 99.63 90.00
Fractional coordinates of all 36 atoms:
Fe (0.1038, 0.0166, 0.2438)
Fe (0.1038, 0.4834, 0.7438)
Fe (0.8962, 0.5166, 0.2562)
Fe (0.8962, 0.9834, 0.7562)
S (0.4669, 0.7403, 0.4092)
S (0.4669, 0.7597, 0.9092)
S (0.5331, 0.2403, 0.0908)
S (0.5331, 0.2597, 0.5908)
Cl (0.0335, 0.5495, 0.1256)
Cl (0.0335, 0.9505, 0.6256)
Cl (0.1219, 0.5575, 0.3882)
Cl (0.1219, 0.9425, 0.8882)
Cl (0.1756, 0.6628, 0.7400)
Cl (0.1756, 0.8372, 0.2400)
Cl (0.2952, 0.6831, 0.0003)
Cl (0.2952, 0.8169, 0.5003)
Cl (0.3204, 0.1364, 0.6069)
Cl (0.3204, 0.3636, 0.1069)
Cl (0.3512, 0.1336, 0.9981)
Cl (0.3512, 0.3664, 0.4981)
Cl (0.3932, 0.1173, 0.2527)
Cl (0.3932, 0.3827, 0.7527)
Cl (0.6068, 0.6173, 0.2473)
Cl (0.6068, 0.8827, 0.7473)
Cl (0.6488, 0.6336, 0.5019)
Cl (0.6488, 0.8664, 0.0019)
Cl (0.6796, 0.6364, 0.8931)
Cl (0.6796, 0.8636, 0.3931)
Cl (0.7048, 0.1831, 0.4997)
Cl (0.7048, 0.3169, 0.9997)
Cl (0.8244, 0.1628, 0.7600)
Cl (0.8244, 0.3372, 0.2600)
Cl (0.8781, 0.0575, 0.1118)
Cl (0.8781, 0.4425, 0.6118)
Cl (0.9665, 0.0495, 0.3744)
Cl (0.9665, 0.4505, 0.8744)

=====

[17]
## FeSCl3 (PBEsol)

Data for a geometry-optimized FeSCl3 structure.

Computed properties:
The density of states at the Fermi level comes out at 6.08 states/eV/f.u. The calculation puts the final energy at -3.710 eV/atom.

Lattice parameters (Å, degrees): 4.7122 4.7122 4.7122 90.00 90.00 90.00
Fractional coordinates of all 5 atoms:
Fe (0.0000, 0.0000, 0.0000)
S (0.5000, 0.5000, 0.5000)
Cl (0.0000, 0.0000, 0.5000)
Cl (0.0000, 0.5000, 0.0000)
Cl (0.5000, 0.0000, 0.0000)

=====

[18]
## ScFeSCl2 (PBEsol)

Data for a geometry-optimized ScFeSCl2 structure.

Computed properties:
The density of states at the Fermi level comes out at 5.76 states/eV/f.u. The calculation puts the final energy at -5.314 eV/atom.

Lattice parameters (Å, degrees): 4.4240 4.4240 4.6245 90.00 90.00 90.00
Fractional coordinates of all 5 atoms:
Sc (0.0000, 0.0000, 0.0000)
Fe (0.5000, 0.5000, 0.5000)
S (0.5000, 0.5000, 0.0000)
Cl (0.0000, 0.5000, 0.5000)
Cl (0.5000, 0.0000, 0.5000)

=====

[19]
## FeTc2SCl (PBEsol)

Data for a geometry-optimized FeTc2SCl structure.

Computed properties:
The density of states at the Fermi level comes out at 6.48 states/eV/f.u. The calculation puts the final energy at -6.718 eV/atom.

Lattice parameters (Å, degrees): 4.3977 4.3977 4.1067 90.00 90.00 90.00
Fractional coordinates of all 5 atoms:
Fe (0.0000, 0.0000, 0.0000)
Tc (0.0000, 0.5000, 0.5000)
Tc (0.5000, 0.0000, 0.5000)
S (0.0000, 0.0000, 0.5000)
Cl (0.5000, 0.5000, 0.0000)

=====

[20]
## TiFeS2Cl (PBEsol)

Data for a geometry-optimized TiFeS2Cl structure.

Computed properties:
The density of states at the Fermi level comes out at 9.29 states/eV/f.u. The calculation puts the final energy at -5.622 eV/atom.

Lattice parameters (Å, degrees): 4.4037 4.4037 4.4222 90.00 90.00 90.00
Fractional coordinates of all 5 atoms:
Ti (0.0000, 0.0000, 0.0000)
Fe (0.5000, 0.5000, 0.5000)
S (0.0000, 0.5000, 0.5000)
S (0.5000, 0.0000, 0.5000)
Cl (0.5000, 0.5000, 0.0000)